The following is a PBE calculation of a relaxed structure of Nb3NiMo, from Alexandria via LeMat-Bulk.

a b c (Å): 4.5782 4.5782 4.5782
angles (deg): 90.00 90.00 90.00
Element x y z (fractional)
Nb 0.0000 0.5000 0.0000
Mo 0.5000 0.5000 0.5000
Nb 0.5000 0.0000 0.0000
Nb 0.0000 0.0000 0.5000
Ni 0.0000 0.0000 0.0000

Values from the calculation:
- Space group: Pm-3m
- Calculated volume: 95.96 Å³ per cell

***

The following is a PBE calculation of a relaxed structure of UTi2Pb, from Alexandria via LeMat-Bulk.

a b c (Å): 3.1442 3.1442 10.0185
angles (deg): 80.97 80.97 60.00
Element x y z (fractional)
U 0.0000 0.0000 0.0000
Ti 0.2505 0.2505 0.2485
Ti 0.7495 0.7495 0.7515
Pb 0.5000 0.5000 0.5000

Values from the calculation:
- Space group: R-3m
- Calculated volume: 84.36 Å³ per cell

***

no.,distance to the lowest polymorph of the same formula (meV per atom)
1,0
2,162